# Ca2AlAu2

A geometry-optimized Ca2AlAu2 structure (PBE, Alexandria).

Cell: 7.441 7.441 4.284 Å, 90.00 90.00 90.00°
Space group P4/mbm (No. 127)
Inequivalent atoms, fractional coordinates:
Ca (0.170, 0.330, 0.000) (multiplicity 4)
Al (0.000, 0.000, 0.500) (multiplicity 2)
Au (0.140, 0.640, 0.500) (multiplicity 4)

Summary:
Formation energy from the elements in meV/atom: -624